VASP calculation (GGA-PBE) on an optimized crystal structure of KLaAsPd.

abc: 4.4924 4.4933 8.6040
angles: 104.55 90.30 119.98
Fractional positions:
1 La 0.9140 0.7348 0.2598
2 K 0.0757 0.0481 0.7443
3 Pd 0.3143 0.5312 0.4599
4 As 0.6418 0.1867 0.4427

Summary:
Calculated formation energy in kJ/mol of formula units: -256
Total DFT energy (no corrections) in eV per atom: -4.630
Magnetic moment in μB/cell: 0.0
Energy relative to the lowest polymorph listed for this composition in meV/atom: 1
SG: P1, No. 1